Computed, not measured: crystalline NdY5Er2Sc at its relaxed geometry at the PBE level of DFT. Values from VASP.

## Properties
* energy: -5.67 eV/atom
* formation energy from the elements: 171 meV per atom
* SG: Cmc2_1

Geometry as Quantum ESPRESSO input:
```
&SYSTEM
  ibrav = 0, nat = 18, ntyp = 4
/
ATOMIC_SPECIES
Nd 144.24 Nd.upf
Y 88.91 Y.upf
Er 167.26 Er.upf
Sc 44.96 Sc.upf
CELL_PARAMETERS angstrom
2.782 -9.964 0.000
2.782 9.964 0.000
0.000 0.000 10.362
ATOMIC_POSITIONS angstrom
Nd 2.782 8.192 5.181
Nd 2.782 -8.192 0.000
Y 2.782 9.567 8.187
Y 2.782 7.431 0.770
Y 2.782 5.950 7.839
Y 2.782 5.437 3.966
Y 2.782 0.343 0.733
Y 2.782 -0.343 5.914
Y 2.782 -5.437 9.147
Y 2.782 -5.950 2.657
Y 2.782 -7.431 5.951
Y 2.782 -9.567 3.006
Er 2.782 2.289 8.167
Er 2.782 2.201 3.793
Er 2.782 -2.201 8.974
Er 2.782 -2.289 2.986
Sc 2.782 3.838 0.719
Sc 2.782 -3.838 5.900
```